1.
# BeInOs2 PBE-GGA optimized geometry
data_BeInOs2
_chemical_formula_sum 'Be3 In3 Os6'
_cell_length_a 2.9112
_cell_length_b 2.9112
_cell_length_c 23.5724
_cell_angle_alpha 90.00
_cell_angle_beta 90.00
_cell_angle_gamma 120.00
_space_group_name_H-M_alt 'R -3 m'
_space_group_IT_number 166
_space_group_name_Hall '-R 3 2"'
loop_
_atom_site_label
_atom_site_type_symbol
_atom_site_fract_x
_atom_site_fract_y
_atom_site_fract_z
_atom_site_occupancy
Be1 Be 0.0000 0.0000 0.0000 1
In1 In 0.0000 0.0000 0.5000 1
Os1 Os 0.0000 0.0000 0.2636 1
# - M_tot: 0.0 Bohr magnetons per cell



2.
# BeInOs4 PBE-GGA optimized geometry
data_BeInOs4
_chemical_formula_sum 'Be4 In4 Os16'
_cell_length_a 7.324
_cell_length_b 7.324
_cell_length_c 7.324
_cell_angle_alpha 90.00
_cell_angle_beta 90.00
_cell_angle_gamma 90.00
_space_group_name_H-M_alt 'F -4 3 m'
_space_group_IT_number 216
_space_group_name_Hall 'F -4 2 3'
loop_
_atom_site_label
_atom_site_type_symbol
_atom_site_fract_x
_atom_site_fract_y
_atom_site_fract_z
_atom_site_occupancy
Be1 Be 0.000 0.000 0.000 1
In1 In 0.250 0.250 0.750 1
Os1 Os 0.125 0.125 0.375 1
# - M_tot: 0.0 Bohr magnetons per cell



3.
# BeInOs2 PBE-GGA optimized geometry
data_BeInOs2
_chemical_formula_sum 'Be2 In2 Os4'
_cell_length_a 2.995
_cell_length_b 4.788
_cell_length_c 8.133
_cell_angle_alpha 90.00
_cell_angle_beta 90.00
_cell_angle_gamma 90.00
_space_group_name_H-M_alt 'C m m m'
_space_group_IT_number 65
_space_group_name_Hall '-C 2 2'
loop_
_atom_site_label
_atom_site_type_symbol
_atom_site_fract_x
_atom_site_fract_y
_atom_site_fract_z
_atom_site_occupancy
Be1 Be 0.000 0.000 0.000 1
In1 In 0.000 0.000 0.500 1
Os1 Os 0.000 0.500 0.211 1
# - M_tot: 0.0 Bohr magnetons per cell



4.
# BeInOs2 PBE-GGA optimized geometry
data_BeInOs2
_chemical_formula_sum 'Be1 In1 Os2'
_cell_length_a 3.877
_cell_length_b 3.877
_cell_length_c 3.964
_cell_angle_alpha 90.00
_cell_angle_beta 90.00
_cell_angle_gamma 90.00
_space_group_name_H-M_alt 'P 4/m m m'
_space_group_IT_number 123
_space_group_name_Hall '-P 4 2'
loop_
_atom_site_label
_atom_site_type_symbol
_atom_site_fract_x
_atom_site_fract_y
_atom_site_fract_z
_atom_site_occupancy
Be1 Be 0.000 0.000 0.000 1
In1 In 0.500 0.500 0.000 1
Os1 Os 0.000 0.500 0.500 1
# - M_tot: 1.0 Bohr magnetons per cell



5.
# BeInOs2 PBE-GGA optimized geometry
data_BeInOs2
_chemical_formula_sum 'Be1 In1 Os2'
_cell_length_a 2.842
_cell_length_b 2.842
_cell_length_c 7.489
_cell_angle_alpha 90.00
_cell_angle_beta 90.00
_cell_angle_gamma 90.00
_space_group_name_H-M_alt 'P 4 m m'
_space_group_IT_number 99
_space_group_name_Hall 'P 4 -2'
loop_
_atom_site_label
_atom_site_type_symbol
_atom_site_fract_x
_atom_site_fract_y
_atom_site_fract_z
_atom_site_occupancy
Be1 Be 0.000 0.000 0.000 1
In1 In 0.500 0.500 0.299 1
Os1 Os 0.000 0.000 0.586 1
Os2 Os 0.500 0.500 0.814 1
# - M_tot: 0.0 Bohr magnetons per cell



6.
# BeInOs3 PBE-GGA optimized geometry
data_BeInOs3
_chemical_formula_sum 'Be1 In1 Os3'
_cell_length_a 4.830
_cell_length_b 4.830
_cell_length_c 4.830
_cell_angle_alpha 90.00
_cell_angle_beta 90.00
_cell_angle_gamma 90.00
_space_group_name_H-M_alt 'P m -3 m'
_space_group_IT_number 221
_space_group_name_Hall '-P 4 2 3'
loop_
_atom_site_label
_atom_site_type_symbol
_atom_site_fract_x
_atom_site_fract_y
_atom_site_fract_z
_atom_site_occupancy
Be1 Be 0.000 0.000 0.000 1
In1 In 0.500 0.500 0.500 1
Os1 Os 0.000 0.500 0.500 1
# - M_tot: 4.0 Bohr magnetons per cell



7.
# BeInOs2 PBE-GGA optimized geometry
data_BeInOs2
_chemical_formula_sum 'Be4 In4 Os8'
_cell_length_a 6.185
_cell_length_b 6.185
_cell_length_c 6.185
_cell_angle_alpha 90.00
_cell_angle_beta 90.00
_cell_angle_gamma 90.00
_space_group_name_H-M_alt 'F -4 3 m'
_space_group_IT_number 216
_space_group_name_Hall 'F -4 2 3'
loop_
_atom_site_label
_atom_site_type_symbol
_atom_site_fract_x
_atom_site_fract_y
_atom_site_fract_z
_atom_site_occupancy
Be1 Be 0.000 0.000 0.000 1
In1 In 0.250 0.250 0.750 1
Os1 Os 0.000 0.000 0.500 1
Os2 Os 0.250 0.250 0.250 1
# - M_tot: 0.0 Bohr magnetons per cell



8.
# BeInOs2 PBE-GGA optimized geometry
data_BeInOs2
_chemical_formula_sum 'Be4 In4 Os8'
_cell_length_a 4.027
_cell_length_b 4.027
_cell_length_c 17.313
_cell_angle_alpha 90.00
_cell_angle_beta 90.00
_cell_angle_gamma 90.00
_space_group_name_H-M_alt 'I -4 2 d'
_space_group_IT_number 122
_space_group_name_Hall 'I -4 2bw'
loop_
_atom_site_label
_atom_site_type_symbol
_atom_site_fract_x
_atom_site_fract_y
_atom_site_fract_z
_atom_site_occupancy
Be1 Be 0.000 0.000 0.000 1
In1 In 0.000 0.000 0.500 1
Os1 Os 0.152 0.750 0.125 1
# - M_tot: 0.0 Bohr magnetons per cell



9.
# BeInOs2 PBE-GGA optimized geometry
data_BeInOs2
_chemical_formula_sum 'Be2 In2 Os4'
_cell_length_a 2.838
_cell_length_b 4.864
_cell_length_c 8.891
_cell_angle_alpha 90.00
_cell_angle_beta 90.00
_cell_angle_gamma 90.00
_space_group_name_H-M_alt 'C m m 2'
_space_group_IT_number 35
_space_group_name_Hall 'C 2 -2'
loop_
_atom_site_label
_atom_site_type_symbol
_atom_site_fract_x
_atom_site_fract_y
_atom_site_fract_z
_atom_site_occupancy
Be1 Be 0.000 0.000 0.000 1
In1 In 0.000 0.500 0.264 1
Os1 Os 0.000 0.000 0.545 1
Os2 Os 0.000 0.500 0.795 1
# - M_tot: 1.4 Bohr magnetons per cell



10.
# BeIn2Os2 PBE-GGA optimized geometry
data_BeIn2Os2
_chemical_formula_sum 'Be2 In4 Os4'
_cell_length_a 6.154
_cell_length_b 6.154
_cell_length_c 4.403
_cell_angle_alpha 90.00
_cell_angle_beta 90.00
_cell_angle_gamma 90.00
_space_group_name_H-M_alt 'P 4/m b m'
_space_group_IT_number 127
_space_group_name_Hall '-P 4 2ab'
loop_
_atom_site_label
_atom_site_type_symbol
_atom_site_fract_x
_atom_site_fract_y
_atom_site_fract_z
_atom_site_occupancy
Be1 Be 0.000 0.000 0.000 1
In1 In 0.171 0.329 0.500 1
Os1 Os 0.145 0.645 0.000 1
# - M_tot: 0.0 Bohr magnetons per cell



11.
# BeInOs2 PBE-GGA optimized geometry
data_BeInOs2
_chemical_formula_sum 'Be2 In2 Os4'
_cell_length_a 3.866
_cell_length_b 3.866
_cell_length_c 7.953
_cell_angle_alpha 90.00
_cell_angle_beta 90.00
_cell_angle_gamma 90.00
_space_group_name_H-M_alt 'I 4/m m m'
_space_group_IT_number 139
_space_group_name_Hall '-I 4 2'
loop_
_atom_site_label
_atom_site_type_symbol
_atom_site_fract_x
_atom_site_fract_y
_atom_site_fract_z
_atom_site_occupancy
Be1 Be 0.000 0.000 0.000 1
In1 In 0.000 0.000 0.500 1
Os1 Os 0.000 0.500 0.250 1
# - M_tot: 0.0 Bohr magnetons per cell



12.
# BeIn4Os PBE-GGA optimized geometry
data_BeIn4Os
_chemical_formula_sum 'Be4 In16 Os4'
_cell_length_a 8.018
_cell_length_b 8.018
_cell_length_c 8.018
_cell_angle_alpha 90.00
_cell_angle_beta 90.00
_cell_angle_gamma 90.00
_space_group_name_H-M_alt 'F -4 3 m'
_space_group_IT_number 216
_space_group_name_Hall 'F -4 2 3'
loop_
_atom_site_label
_atom_site_type_symbol
_atom_site_fract_x
_atom_site_fract_y
_atom_site_fract_z
_atom_site_occupancy
Be1 Be 0.000 0.000 0.000 1
In1 In 0.125 0.125 0.625 1
Os1 Os 0.250 0.250 0.250 1
# - M_tot: 0.0 Bohr magnetons per cell



DFT formation energy, record by record: 0.4481, 0.8423, 0.4831, 0.6365, 0.2757, 3.1988, 0.5845, 0.6600, 0.6826, 0.2709, 0.6256, 1.1555 eV/atom